# PBE Tm3SnTe, relaxed
# ΔE_f (raw) ... -0.5879 eV/atom
# Symmetry ... P1
# Uncorrected energy ... -4.70 eV/atom
data_Tm3SnTe
_cell_length_a 6.521
_cell_length_b 7.018
_cell_length_c 9.464
_cell_angle_alpha 61.83
_cell_angle_beta 56.03
_cell_angle_gamma 56.75
_space_group_name_H-M_alt 'P 1'
_space_group_IT_number 1
_space_group_name_Hall 'P 1'
loop_
_atom_site_label
_atom_site_fract_x
_atom_site_fract_y
_atom_site_fract_z
Tm1 0.814 0.753 0.008
Tm2 0.986 0.562 0.402
Tm3 0.501 0.059 0.425
Tm4 0.071 0.112 0.311
Tm5 0.311 0.292 0.767
Tm6 0.515 0.417 0.003
Sn1 0.730 0.787 0.699
Sn2 0.500 0.551 0.375
Te1 0.025 0.972 0.080
Te2 0.930 0.146 0.691

# PBE Tm6SnTe3, relaxed
# ΔE_f (raw) ... -0.8126 eV/atom
# Symmetry ... P2_1/m
# Uncorrected energy ... -4.84 eV/atom
data_Tm6SnTe3
_cell_length_a 4.074
_cell_length_b 11.924
_cell_length_c 12.391
_cell_angle_alpha 104.23
_cell_angle_beta 90.00
_cell_angle_gamma 90.00
_space_group_name_H-M_alt 'P 1'
_space_group_IT_number 1
_space_group_name_Hall 'P 1'
loop_
_atom_site_label
_atom_site_fract_x
_atom_site_fract_y
_atom_site_fract_z
Tm1 0.750 0.789 0.763
Tm2 0.750 0.117 0.459
Tm3 0.250 0.579 0.879
Tm4 0.750 0.952 0.127
Tm5 0.250 0.513 0.353
Tm6 0.750 0.487 0.647
Tm7 0.250 0.211 0.237
Tm8 0.250 0.883 0.541
Tm9 0.250 0.048 0.873
Tm10 0.250 0.246 0.702
Tm11 0.750 0.754 0.298
Tm12 0.750 0.421 0.121
Te1 0.750 0.164 0.045
Te2 0.250 0.327 0.488
Te3 0.250 0.836 0.955
Te4 0.750 0.673 0.512
Te5 0.250 0.613 0.138
Te6 0.750 0.387 0.862
Sn1 0.750 0.045 0.687
Sn2 0.250 0.955 0.313

# PBE Tm4SnTe, relaxed
# ΔE_f (raw) ... -0.6387 eV/atom
# Symmetry ... P2_1/m
# Uncorrected energy ... -4.81 eV/atom
data_Tm4SnTe
_cell_length_a 6.087
_cell_length_b 8.495
_cell_length_c 6.357
_cell_angle_alpha 90.00
_cell_angle_beta 90.00
_cell_angle_gamma 92.80
_space_group_name_H-M_alt 'P 1'
_space_group_IT_number 1
_space_group_name_Hall 'P 1'
loop_
_atom_site_label
_atom_site_fract_x
_atom_site_fract_y
_atom_site_fract_z
Tm1 0.860 0.691 0.503
Tm2 0.341 0.964 0.750
Tm3 0.376 0.658 0.250
Tm4 0.659 0.036 0.250
Tm5 0.860 0.691 0.997
Tm6 0.624 0.342 0.750
Tm7 0.140 0.309 0.497
Tm8 0.140 0.309 0.003
Sn1 0.683 0.387 0.250
Sn2 0.317 0.613 0.750
Te1 0.838 0.025 0.750
Te2 0.162 0.975 0.250

# PBE Tm8Sn2Te, relaxed
# ΔE_f (raw) ... -0.4690 eV/atom
# Symmetry ... C2/m
# Uncorrected energy ... -4.73 eV/atom
data_Tm8Sn2Te
_cell_length_a 5.099
_cell_length_b 6.727
_cell_length_c 9.350
_cell_angle_alpha 87.09
_cell_angle_beta 105.82
_cell_angle_gamma 90.00
_space_group_name_H-M_alt 'P 1'
_space_group_IT_number 1
_space_group_name_Hall 'P 1'
loop_
_atom_site_label
_atom_site_fract_x
_atom_site_fract_y
_atom_site_fract_z
Tm1 0.336 0.916 0.672
Tm2 0.664 0.084 0.328
Tm3 0.216 0.366 0.433
Tm4 0.968 0.748 0.937
Tm5 0.407 0.432 0.813
Tm6 0.032 0.252 0.063
Tm7 0.593 0.568 0.187
Tm8 0.784 0.634 0.567
Sn1 0.835 0.178 0.670
Sn2 0.165 0.822 0.330
Te1 0.500 0.000 0.000

# PBE Tm2SnTe4, relaxed
# ΔE_f (raw) ... -0.7625 eV/atom
# Symmetry ... I-42m
# Uncorrected energy ... -4.41 eV/atom
# Distance to the lowest polymorph of the same formula ... 267 meV per atom
data_Tm2SnTe4
_cell_length_a 6.594
_cell_length_b 6.594
_cell_length_c 8.437
_cell_angle_alpha 113.00
_cell_angle_beta 113.00
_cell_angle_gamma 90.00
_space_group_name_H-M_alt 'P 1'
_space_group_IT_number 1
_space_group_name_Hall 'P 1'
loop_
_atom_site_label
_atom_site_fract_x
_atom_site_fract_y
_atom_site_fract_z
Te1 0.898 0.351 0.250
Te2 0.351 0.898 0.250
Te3 0.102 0.102 0.750
Te4 0.649 0.649 0.750
Sn1 0.500 0.500 0.000
Tm1 0.250 0.750 0.500
Tm2 0.750 0.250 0.500

# PBE Tm3Sn5Te12, relaxed
# ΔE_f (raw) ... -0.4941 eV/atom
# Symmetry ... Ia-3d
# Uncorrected energy ... -4.05 eV/atom
data_Tm3Sn5Te12
_cell_length_a 15.506
_cell_length_b 15.506
_cell_length_c 15.506
_cell_angle_alpha 109.47
_cell_angle_beta 109.47
_cell_angle_gamma 109.47
_space_group_name_H-M_alt 'P 1'
_space_group_IT_number 1
_space_group_name_Hall 'P 1'
loop_
_atom_site_label
_atom_site_fract_x
_atom_site_fract_y
_atom_site_fract_z
Sn1 0.000 0.500 0.000
Sn2 0.500 0.000 0.500
Sn3 0.000 0.000 0.500
Sn4 0.125 0.375 0.250
Sn5 0.125 0.750 0.375
Sn6 0.500 0.500 0.000
Sn7 0.875 0.250 0.625
Sn8 0.750 0.125 0.875
Sn9 0.250 0.375 0.625
Sn10 0.875 0.625 0.750
Sn11 0.375 0.250 0.125
Sn12 0.250 0.875 0.125
Sn13 0.625 0.875 0.250
Sn14 0.000 0.500 0.500
Sn15 0.750 0.625 0.375
Sn16 0.375 0.125 0.750
Sn17 0.500 0.500 0.500
Sn18 0.625 0.750 0.875
Sn19 0.500 0.000 0.000
Sn20 0.000 0.000 0.000
Tm1 0.625 0.250 0.375
Tm2 0.875 0.750 0.125
Tm3 0.750 0.875 0.625
Tm4 0.750 0.375 0.125
Tm5 0.125 0.875 0.750
Tm6 0.125 0.250 0.875
Tm7 0.625 0.375 0.750
Tm8 0.875 0.125 0.250
Tm9 0.375 0.750 0.625
Tm10 0.375 0.625 0.250
Tm11 0.250 0.125 0.375
Tm12 0.250 0.625 0.875
Te1 0.725 0.585 0.171
Te2 0.054 0.640 0.725
Te3 0.725 0.140 0.054
Te4 0.171 0.085 0.725
Te5 0.225 0.554 0.640
Te6 0.225 0.671 0.085
Te7 0.275 0.415 0.829
Te8 0.554 0.329 0.914
Te9 0.140 0.415 0.086
Te10 0.586 0.640 0.415
Te11 0.586 0.946 0.671
Te12 0.085 0.914 0.360
Te13 0.914 0.829 0.554
Te14 0.671 0.225 0.585
Te15 0.414 0.054 0.329
Te16 0.914 0.085 0.860
Te17 0.171 0.086 0.946
Te18 0.640 0.054 0.225
Te19 0.915 0.829 0.775
Te20 0.829 0.915 0.275
Te21 0.860 0.275 0.446
Te22 0.554 0.225 0.140
Te23 0.415 0.140 0.586
Te24 0.329 0.775 0.415
Te25 0.946 0.360 0.275
Te26 0.946 0.586 0.171
Te27 0.360 0.414 0.085
Te28 0.446 0.671 0.086
Te29 0.860 0.585 0.914
Te30 0.671 0.446 0.586
Te31 0.640 0.586 0.915
Te32 0.275 0.860 0.946
Te33 0.085 0.171 0.225
Te34 0.775 0.329 0.915
Te35 0.054 0.414 0.829
Te36 0.446 0.775 0.860
Te37 0.585 0.860 0.414
Te38 0.086 0.171 0.446
Te39 0.775 0.446 0.360
Te40 0.585 0.725 0.671
Te41 0.329 0.554 0.414
Te42 0.415 0.275 0.329
Te43 0.915 0.086 0.640
Te44 0.414 0.360 0.585
Te45 0.360 0.946 0.775
Te46 0.829 0.914 0.054
Te47 0.086 0.915 0.140
Te48 0.140 0.725 0.554

# PBE Tm7SnTe2, relaxed
# ΔE_f (raw) ... -0.0724 eV/atom
# Symmetry ... Cmmm
# Uncorrected energy ... -4.23 eV/atom
data_Tm7SnTe2
_cell_length_a 5.280
_cell_length_b 8.577
_cell_length_c 8.577
_cell_angle_alpha 118.44
_cell_angle_beta 90.00
_cell_angle_gamma 90.00
_space_group_name_H-M_alt 'P 1'
_space_group_IT_number 1
_space_group_name_Hall 'P 1'
loop_
_atom_site_label
_atom_site_fract_x
_atom_site_fract_y
_atom_site_fract_z
Tm1 0.500 0.064 0.298
Tm2 0.000 0.222 0.778
Tm3 0.000 0.778 0.222
Tm4 0.500 0.500 0.500
Tm5 0.500 0.702 0.936
Tm6 0.500 0.298 0.064
Tm7 0.500 0.936 0.702
Sn1 0.000 0.000 0.000
Te1 0.500 0.301 0.699
Te2 0.500 0.699 0.301

# PBE Tm2SnTe, relaxed
# ΔE_f (raw) ... -0.9686 eV/atom
# Symmetry ... R-3m
# Uncorrected energy ... -4.99 eV/atom
# Distance to the lowest polymorph of the same formula ... 18 meV per atom
data_Tm2SnTe
_cell_length_a 4.343
_cell_length_b 4.343
_cell_length_c 7.555
_cell_angle_alpha 89.99
_cell_angle_beta 106.72
_cell_angle_gamma 119.99
_space_group_name_H-M_alt 'P 1'
_space_group_IT_number 1
_space_group_name_Hall 'P 1'
loop_
_atom_site_label
_atom_site_fract_x
_atom_site_fract_y
_atom_site_fract_z
Tm1 0.490 0.745 0.234
Tm2 0.510 0.255 0.766
Sn1 0.000 0.000 0.000
Te1 0.000 0.500 0.500

> The lowest uncorrected energy belongs to which entry?

Tm2SnTe

> Look up the uncorrected energy of the fourth one.

-4.73 eV/atom

> Which formula does entry 4 have?

Tm8Sn2Te